Compound: Er5Tm2Sc4
Source: the Alexandria database
Functional: GGA-PBE
Structure: optimized geometry

Computed properties:
crystal system: monoclinic
magnetization: 0.00 μB per formula unit
distance to the lowest polymorph of the same formula: 94.4 meV per atom

Cell lengths 6.6932, 6.6932, 9.9552 Å; angles 118.93, 118.93, 58.92 degrees
Last column: nearest neighbours and their distance in Å.
Positions (direct):
Er1 0.0000 0.0000 0.0000  4 Sc 3.16-3.33
Er2 0.1097 0.5715 0.3332  2 Er 3.04-3.34, 3 Sc 3.16-3.27, 1 Tm 3.27
Er3 0.4285 0.8903 0.6668  2 Er 3.04-3.34, 3 Sc 3.16-3.27, 1 Tm 3.27
Er4 0.5715 0.1097 0.3332  2 Er 3.04-3.34, 3 Sc 3.16-3.27, 1 Tm 3.27
Er5 0.8903 0.4285 0.6668  2 Er 3.04-3.34, 3 Sc 3.16-3.27, 1 Tm 3.27
Tm1 0.4142 0.4142 0.7107  4 Sc 3.19-3.42, 4 Er 3.27-3.47
Tm2 0.5858 0.5858 0.2893  4 Sc 3.19-3.42, 4 Er 3.27-3.47
Sc1 0.0898 0.0898 0.3633  7 Er 3.16-3.45, 3 Tm 3.37-3.42
Sc2 0.2759 0.2759 0.9803  5 Er 3.16-3.50, 1 Tm 3.19, 2 Sc 3.41
Sc3 0.7241 0.7241 0.0197  5 Er 3.16-3.50, 1 Tm 3.19, 2 Sc 3.41
Sc4 0.9102 0.9102 0.6367  7 Er 3.16-3.45, 3 Tm 3.37-3.42

Compound: Er5Tm6Sc
Source: the Alexandria database
Functional: GGA-PBE
Structure: optimized geometry

Computed properties:
crystal system: monoclinic
magnetization: 0.00 μB per formula unit

Cell lengths 6.0178, 6.0178, 11.5315 Å; angles 94.99, 94.99, 119.94 degrees
Last column: nearest neighbours and their distance in Å.
Positions (direct):
Er1 0.0000 0.0000 0.0000  6 Er 3.47-3.48, 6 Tm 3.49-3.50
Er2 0.1666 0.8334 0.5000  6 Tm 3.46, 3 Er 3.47-3.48, 3 Sc 3.47-3.48
Er3 0.3334 0.6666 0.0000  6 Er 3.47-3.48, 6 Tm 3.49-3.51
Er4 0.6666 0.3334 0.0000  6 Er 3.47-3.48, 6 Tm 3.49-3.51
Er5 0.8334 0.1666 0.5000  6 Tm 3.46, 3 Er 3.47-3.48, 3 Sc 3.47-3.48
Tm1 0.0863 0.4176 0.2523  1 Sc 3.45, 6 Tm 3.45-3.49, 5 Er 3.46-3.51
Tm2 0.2510 0.2510 0.7479  1 Sc 3.45, 6 Tm 3.46-3.49, 5 Er 3.46-3.50
Tm3 0.4176 0.0863 0.2523  1 Sc 3.45, 6 Tm 3.45-3.49, 5 Er 3.46-3.51
Tm4 0.5824 0.9137 0.7477  1 Sc 3.45, 6 Tm 3.45-3.49, 5 Er 3.46-3.51
Tm5 0.7490 0.7490 0.2521  1 Sc 3.45, 6 Tm 3.46-3.49, 5 Er 3.46-3.50
Tm6 0.9137 0.5824 0.7477  1 Sc 3.45, 6 Tm 3.45-3.49, 5 Er 3.46-3.51
Sc1 0.5000 0.5000 0.5000  6 Tm 3.45, 6 Er 3.47-3.48

Compound: Er4Tm2Sc5
Source: the Alexandria database
Functional: GGA-PBE
Structure: optimized geometry

Computed properties:
crystal system: monoclinic
magnetization: 0.00 μB per formula unit
distance to the lowest polymorph of the same formula: 37.0 meV per atom

Cell lengths 11.6115, 11.6115, 8.4576 Å; angles 110.87, 110.87, 16.99 degrees
Last column: nearest neighbours and their distance in Å.
Positions (direct):
Er1 0.0350 0.0350 0.3669  4 Sc 3.05-3.38, 1 Er 3.20
Er2 0.3225 0.3225 0.4846  4 Sc 3.28-3.56, 2 Tm 3.42, 4 Er 3.43-3.50
Er3 0.6775 0.6775 0.5154  4 Sc 3.28-3.56, 2 Tm 3.42, 4 Er 3.43-3.50
Er4 0.9650 0.9650 0.6331  4 Sc 3.05-3.38, 1 Er 3.20
Tm1 0.2697 0.2697 0.8668  3 Sc 3.13-3.29, 4 Tm 3.21-3.43, 2 Er 3.42
Tm2 0.7303 0.7303 0.1332  3 Sc 3.13-3.29, 4 Tm 3.21-3.43, 2 Er 3.42
Sc1 0.1192 0.1192 0.7963  3 Sc 3.09-3.43, 1 Tm 3.29, 2 Er 3.31-3.44
Sc2 0.1208 0.1208 0.1629  3 Er 3.05-3.28, 3 Sc 3.09-3.13, 2 Tm 3.13
Sc3 0.5000 0.5000 0.0000  6 Sc 3.13-3.43, 4 Er 3.38
Sc4 0.8792 0.8792 0.8371  3 Er 3.05-3.28, 3 Sc 3.09-3.13, 2 Tm 3.13
Sc5 0.8808 0.8808 0.2037  3 Sc 3.09-3.43, 1 Tm 3.29, 2 Er 3.31-3.44

Compound: Er2Tm4Sc5
Source: the Alexandria database
Functional: GGA-PBE
Structure: optimized geometry

Computed properties:
crystal system: monoclinic
magnetization: 0.00 μB per formula unit
distance to the lowest polymorph of the same formula: 49.1 meV per atom

Cell lengths 11.4214, 11.4214, 8.2658 Å; angles 93.29, 93.29, 16.80 degrees
Last column: nearest neighbours and their distance in Å.
Positions (direct):
Er1 0.0881 0.0881 0.1957  5 Tm 3.25-3.48, 5 Sc 3.30-3.40, 2 Er 3.34
Er2 0.9119 0.9119 0.8043  5 Tm 3.25-3.48, 5 Sc 3.30-3.40, 2 Er 3.34
Tm1 0.2266 0.2266 0.3249  6 Sc 3.24-3.40, 1 Er 3.25, 4 Tm 3.34-3.45
Tm2 0.4561 0.4561 0.1610  4 Sc 3.22-3.37, 3 Tm 3.34-3.41, 4 Er 3.42-3.48
Tm3 0.5439 0.5439 0.8390  4 Sc 3.22-3.37, 3 Tm 3.34-3.41, 4 Er 3.42-3.48
Tm4 0.7734 0.7734 0.6751  6 Sc 3.24-3.40, 1 Er 3.25, 4 Tm 3.34-3.45
Sc1 0.0000 0.0000 0.5000  2 Er 3.30, 6 Sc 3.34-3.36, 4 Tm 3.36
Sc2 0.3126 0.3126 0.0239  4 Tm 3.24-3.40, 4 Sc 3.29-3.34, 2 Er 3.40
Sc3 0.3709 0.3709 0.4601  4 Tm 3.22-3.39, 4 Sc 3.34-3.36, 2 Er 3.38
Sc4 0.6291 0.6291 0.5399  4 Tm 3.22-3.39, 4 Sc 3.34-3.36, 2 Er 3.38
Sc5 0.6874 0.6874 0.9761  4 Tm 3.24-3.40, 4 Sc 3.29-3.34, 2 Er 3.40

Compound: Er2Tm4Sc
Source: the Alexandria database
Functional: GGA-PBE
Structure: optimized geometry

Computed properties:
crystal system: triclinic
magnetization: 0.00 μB per formula unit
distance to the lowest polymorph of the same formula: 0.0 meV per atom

Cell lengths 6.1209, 8.2139, 8.9456 Å; angles 84.22, 89.97, 68.15 degrees
Last column: nearest neighbours and their distance in Å.
Positions (direct):
Er1 0.0000 0.0000 0.0000  4 Er 3.39-3.55, 7 Tm 3.44-3.57, 1 Sc 3.54
Er2 0.0461 0.5746 0.0699  2 Er 3.39-3.43, 1 Sc 3.40, 9 Tm 3.41-3.56
Er3 0.4269 0.1442 0.1446  9 Tm 3.43-3.57, 3 Er 3.43-3.55
Er4 0.7617 0.1447 0.6435  9 Tm 3.40-3.56, 1 Er 3.41, 2 Sc 3.42
Tm1 0.1836 0.2933 0.7840  5 Tm 3.36-3.56, 2 Sc 3.36-3.37, 5 Er 3.45-3.56
Tm2 0.2824 0.4318 0.4331  6 Tm 3.36-3.55, 3 Er 3.42-3.56, 3 Sc 3.48-3.53
Tm3 0.3321 0.9954 0.5040  2 Sc 3.37, 7 Tm 3.37-3.56, 3 Er 3.45-3.56
Tm4 0.4764 0.7137 0.2187  7 Tm 3.39-3.56, 1 Sc 3.40, 4 Er 3.43-3.55
Tm5 0.5706 0.8567 0.8551  4 Tm 3.37-3.48, 5 Er 3.41-3.57, 3 Sc 3.48-3.53
Tm6 0.6128 0.4339 0.9244  2 Sc 3.36-3.38, 5 Tm 3.38-3.56, 5 Er 3.45-3.56
Tm7 0.8550 0.2891 0.2882  6 Tm 3.39-3.55, 5 Er 3.40-3.57, 1 Sc 3.53
Tm8 0.9026 0.8548 0.3637  2 Sc 3.36-3.37, 6 Tm 3.38-3.55, 4 Er 3.45-3.56
Sc1 0.1408 0.7145 0.7134  7 Tm 3.36-3.53, 3 Er 3.40-3.54, 2 Sc 3.51-3.52
Sc2 0.7107 0.5741 0.5742  9 Tm 3.36-3.53, 1 Er 3.42, 2 Sc 3.51-3.52

Compound: Er3Tm2Sc
Source: the Alexandria database
Functional: GGA-PBE
Structure: optimized geometry

Computed properties:
crystal system: monoclinic
magnetization: 0.03 μB per formula unit
distance to the lowest polymorph of the same formula: 105.5 meV per atom

Cell lengths 8.8186, 8.8186, 13.8067 Å; angles 117.01, 117.01, 22.23 degrees
Last column: nearest neighbours and their distance in Å.
Positions (direct):
Er1 0.0387 0.0387 0.2173  3 Tm 3.37-3.54, 8 Er 3.40-3.68, 2 Sc 3.59
Er2 0.2566 0.2566 0.7056  4 Tm 3.25-3.38, 5 Er 3.38-3.62, 2 Sc 3.51
Er3 0.4006 0.4006 0.9745  6 Er 3.18-3.52, 3 Tm 3.38-3.42
Er4 0.5994 0.5994 0.0255  6 Er 3.18-3.52, 3 Tm 3.38-3.42
Er5 0.7434 0.7434 0.2944  4 Tm 3.25-3.38, 5 Er 3.38-3.62, 2 Sc 3.51
Er6 0.9613 0.9613 0.7827  3 Tm 3.37-3.54, 8 Er 3.40-3.68, 2 Sc 3.59
Tm1 0.1796 0.1796 0.8803  5 Er 3.25-3.42, 4 Tm 3.40-3.51, 2 Sc 3.42
Tm2 0.3439 0.3439 0.5316  2 Sc 3.35-3.46, 5 Er 3.37-3.54, 4 Tm 3.40
Tm3 0.6561 0.6561 0.4684  2 Sc 3.35-3.46, 5 Er 3.37-3.54, 4 Tm 3.40
Tm4 0.8204 0.8204 0.1197  5 Er 3.25-3.42, 4 Tm 3.40-3.51, 2 Sc 3.42
Sc1 0.4384 0.4384 0.3587  4 Tm 3.35-3.46, 3 Sc 3.40-3.47, 4 Er 3.51-3.59
Sc2 0.5616 0.5616 0.6413  4 Tm 3.35-3.46, 3 Sc 3.40-3.47, 4 Er 3.51-3.59

Compound: Er2Tm5Sc
Source: the Alexandria database
Functional: GGA-PBE
Structure: optimized geometry

Computed properties:
crystal system: orthorhombic
magnetization: 0.00 μB per formula unit
distance to the lowest polymorph of the same formula: 0.0 meV per atom

Cell lengths 8.2253, 7.0707, 6.5304 Å; angles 74.30, 55.85, 49.85 degrees
Last column: nearest neighbours and their distance in Å.
Positions (direct):
Er1 0.2467 0.7533 0.2467  1 Sc 3.38, 9 Tm 3.40-3.55, 2 Er 3.54
Er2 0.7533 0.2467 0.7533  1 Sc 3.38, 9 Tm 3.40-3.55, 2 Er 3.54
Tm1 0.1677 0.6640 0.8323  4 Er 3.40-3.45, 6 Tm 3.43-3.56, 2 Sc 3.53-3.54
Tm2 0.2486 0.2486 0.2514  2 Sc 3.42, 6 Tm 3.42-3.53, 4 Er 3.52-3.55
Tm3 0.6640 0.1677 0.3360  4 Er 3.40-3.45, 6 Tm 3.43-3.56, 2 Sc 3.53-3.54
Tm4 0.6651 0.6651 0.3349  8 Tm 3.42-3.55, 2 Er 3.44, 2 Sc 3.53
Tm5 0.7486 0.7486 0.7514  2 Sc 3.42, 6 Tm 3.42-3.53, 4 Er 3.52-3.55
Sc1 0.1656 0.1656 0.8344  2 Er 3.38, 10 Tm 3.42-3.54

Compound: Er4TmSc2
Source: the Alexandria database
Functional: GGA-PBE
Structure: optimized geometry

Computed properties:
crystal system: triclinic
magnetization: 0.00 μB per formula unit
distance to the lowest polymorph of the same formula: 0.0 meV per atom

Cell lengths 6.4403, 7.8938, 8.4214 Å; angles 91.07, 99.81, 105.73 degrees
Last column: nearest neighbours and their distance in Å.
Positions (direct):
Er1 0.0000 0.0000 0.0000  3 Sc 3.27-3.61, 1 Tm 3.43, 5 Er 3.45-3.57
Er2 0.0469 0.4800 0.0135  3 Sc 3.13-3.28, 1 Er 3.25, 1 Tm 3.47
Er3 0.2334 0.0204 0.4759  4 Sc 3.15-3.39, 4 Er 3.31-3.51, 2 Tm 3.34-3.36
Er4 0.3463 0.5885 0.4461  4 Sc 3.20-3.33, 3 Tm 3.25-3.48, 2 Er 3.29-3.41
Er5 0.5078 0.1214 0.8783  1 Tm 3.23, 4 Sc 3.24-3.61, 4 Er 3.44-3.55
Er6 0.5596 0.6081 0.8895  3 Sc 3.21-3.42, 1 Tm 3.51, 3 Er 3.52-3.57
Er7 0.7355 0.9474 0.5971  6 Er 3.29-3.50, 3 Sc 3.30-3.42, 2 Tm 3.55-3.61
Er8 0.8960 0.2435 0.3070  4 Sc 3.22-3.54, 5 Er 3.25-3.50, 2 Tm 3.42-3.45
Tm1 0.4529 0.8799 0.1821  8 Er 3.23-3.61, 1 Sc 3.42, 1 Tm 3.44
Tm2 0.8406 0.6622 0.3086  3 Sc 3.33-3.54, 7 Er 3.34-3.64, 1 Tm 3.44
Sc1 0.0948 0.7171 0.7203  6 Er 3.13-3.46, 2 Sc 3.32-3.33
Sc2 0.1441 0.3086 0.6987  2 Sc 3.15-3.33, 7 Er 3.15-3.38
Sc3 0.4181 0.3040 0.2010  7 Er 3.20-3.54, 2 Tm 3.33-3.42, 1 Sc 3.40
Sc4 0.6749 0.3642 0.5934  3 Sc 3.15-3.40, 6 Er 3.22-3.42, 1 Tm 3.49

Compound: Er2Tm5Sc5
Source: the Alexandria database
Functional: GGA-PBE
Structure: optimized geometry

Computed properties:
crystal system: monoclinic
magnetization: 0.01 μB per formula unit
distance to the lowest polymorph of the same formula: 34.6 meV per atom

Cell lengths 8.4178, 8.4178, 9.3065 Å; angles 121.08, 121.08, 37.28 degrees
Last column: nearest neighbours and their distance in Å.
Positions (direct):
Er1 0.0924 0.0924 0.4263  5 Sc 3.31-3.46, 6 Tm 3.40-3.66
Er2 0.9076 0.9076 0.5737  5 Sc 3.31-3.46, 6 Tm 3.40-3.66
Tm1 0.0000 0.0000 0.0000  8 Sc 3.36-3.59, 2 Er 3.40, 4 Tm 3.57-3.74
Tm2 0.1800 0.1800 0.8606  4 Sc 3.25-3.53, 5 Tm 3.41-3.56, 1 Er 3.48
Tm3 0.2645 0.2645 0.2987  4 Sc 3.15-3.43, 3 Tm 3.41-3.53
Tm4 0.7355 0.7355 0.7013  4 Sc 3.15-3.43, 3 Tm 3.41-3.53
Tm5 0.8200 0.8200 0.1394  4 Sc 3.25-3.53, 5 Tm 3.41-3.56, 1 Er 3.48
Sc1 0.3480 0.3480 0.7247  2 Sc 3.02-3.22, 2 Tm 3.18
Sc2 0.4298 0.4298 0.1259  3 Sc 3.02-3.22, 5 Tm 3.25-3.36
Sc3 0.5000 0.5000 0.5000  2 Sc 3.02, 2 Tm 3.15, 4 Er 3.31
Sc4 0.5702 0.5702 0.8741  3 Sc 3.02-3.22, 5 Tm 3.25-3.36
Sc5 0.6520 0.6520 0.2753  2 Sc 3.02-3.22, 2 Tm 3.18

Compound: Er6Tm3Sc
Source: the Alexandria database
Functional: GGA-PBE
Structure: optimized geometry

Computed properties:
crystal system: monoclinic
magnetization: 0.00 μB per formula unit
distance to the lowest polymorph of the same formula: 0.0 meV per atom

Cell lengths 10.9821, 4.9187, 11.0011 Å; angles 90.00, 90.14, 90.00 degrees
Last column: nearest neighbours and their distance in Å.
Positions (direct):
Er1 0.0494 0.2500 0.3973  7 Er 3.46-3.52, 1 Sc 3.46, 4 Tm 3.48
Er2 0.1468 0.7500 0.1955  3 Sc 3.40-3.43, 5 Er 3.44-3.48, 4 Tm 3.50-3.51
Er3 0.1485 0.2500 0.7016  8 Er 3.44-3.52, 2 Sc 3.48, 2 Tm 3.50
Er4 0.2447 0.2500 0.9992  3 Sc 3.40-3.44, 5 Er 3.44-3.47, 4 Tm 3.49-3.52
Er5 0.3466 0.7500 0.8013  1 Sc 3.46, 6 Er 3.46-3.49, 5 Tm 3.47-3.51
Er6 0.4491 0.2500 0.6006  7 Tm 3.48-3.50, 5 Er 3.49
Er7 0.5509 0.7500 0.3994  7 Tm 3.48-3.50, 5 Er 3.49
Er8 0.6534 0.2500 0.1987  1 Sc 3.46, 6 Er 3.46-3.49, 5 Tm 3.47-3.51
Er9 0.7553 0.7500 0.0008  3 Sc 3.40-3.44, 5 Er 3.44-3.47, 4 Tm 3.49-3.52
Er10 0.8515 0.7500 0.2984  8 Er 3.44-3.52, 2 Sc 3.48, 2 Tm 3.50
Er11 0.8532 0.2500 0.8045  3 Sc 3.40-3.43, 5 Er 3.44-3.48, 4 Tm 3.50-3.51
Er12 0.9506 0.7500 0.6027  7 Er 3.46-3.52, 1 Sc 3.46, 4 Tm 3.48
Tm1 0.2492 0.7500 0.4984  10 Er 3.48-3.51, 2 Tm 3.48
Tm2 0.3498 0.2500 0.2984  4 Tm 3.47-3.48, 8 Er 3.48-3.51
Tm3 0.4504 0.7500 0.0996  8 Er 3.47-3.52, 4 Tm 3.47
Tm4 0.5496 0.2500 0.9004  8 Er 3.47-3.52, 4 Tm 3.47
Tm5 0.6502 0.7500 0.7016  4 Tm 3.47-3.48, 8 Er 3.48-3.51
Tm6 0.7508 0.2500 0.5016  10 Er 3.48-3.51, 2 Tm 3.48
Sc1 0.0485 0.7500 0.9023  10 Er 3.40-3.48, 2 Sc 3.44
Sc2 0.9515 0.2500 0.0977  10 Er 3.40-3.48, 2 Sc 3.44

no.,formation energy (meV/atom)
1,197
2,32
3,139
4,137
5,7
6,145
7,6
8,78
9,85
10,33